# CoNiF2 PBE with a Hubbard U optimized geometry
data_CoNiF2
_cell_length_a 5.904
_cell_length_b 5.904
_cell_length_c 5.904
_cell_angle_alpha 130.25
_cell_angle_beta 130.25
_cell_angle_gamma 73.01
_symmetry_space_group_name_H-M 'P 1'
_symmetry_Int_Tables_number 1
loop_
_symmetry_equiv_pos_as_xyz
'x,y,z'
loop_
_atom_site_label
_atom_site_type_symbol
_atom_site_fract_x
_atom_site_fract_y
_atom_site_fract_z
Co1 Co 0.000 0.000 0.000
Co2 Co 0.750 0.250 0.500
Ni1 Ni 0.250 0.750 0.500
Ni2 Ni 0.500 0.500 0.000
F1 F 0.097 0.625 0.972
F2 F 0.375 0.347 0.472
F3 F 0.653 0.125 0.028
F4 F 0.875 0.903 0.528
# * relative energy among the computed polymorphs: 0.95 eV per formula unit
# * symmetry: I-42d, No. 122
# * mass density: 4.4 g cm⁻³
# * total magnetization: 7.20 μB/cell